(1)
# KAl2Pb2, relaxed, DFT PBE
data_KAl2Pb2
_chemical_formula_sum 'K2 Al4 Pb4'
_cell_length_a 5.0988
_cell_length_b 5.0988
_cell_length_c 11.5292
_cell_angle_alpha 90.00
_cell_angle_beta 90.00
_cell_angle_gamma 90.00
_space_group_name_H-M_alt 'I 4/m m m'
_space_group_IT_number 139
_space_group_name_Hall '-I 4 2'
loop_
_atom_site_label
_atom_site_type_symbol
_atom_site_fract_x
_atom_site_fract_y
_atom_site_fract_z
K1 K 0.0000 0.0000 0.0000
Al1 Al 0.0000 0.0000 0.3856
Pb1 Pb 0.0000 0.5000 0.2500
# ΔE_f = 6 kJ/mol of formula units
# E_tot = -31.9 eV for the cell shown


(2)
# KAl2Pb, relaxed, DFT PBE
data_KAl2Pb
_chemical_formula_sum 'K2 Al4 Pb2'
_cell_length_a 9.1183
_cell_length_b 3.3620
_cell_length_c 7.6747
_cell_angle_alpha 90.00
_cell_angle_beta 97.93
_cell_angle_gamma 90.00
_space_group_name_H-M_alt 'C 1 m 1'
_space_group_IT_number 8
_space_group_name_Hall 'C -2y'
loop_
_atom_site_label
_atom_site_type_symbol
_atom_site_fract_x
_atom_site_fract_y
_atom_site_fract_z
K1 K 0.0000 0.0000 0.0000
Al1 Al 0.2620 0.5000 0.3241
Al2 Al 0.4961 0.0000 0.4384
Pb1 Pb 0.2347 0.0000 0.6571
# ΔE_f = 41 kJ/mol of formula units
# E_tot = -23.7 eV for the cell shown


(3)
# KAlPb2, relaxed, DFT PBE
data_KAlPb2
_chemical_formula_sum 'K3 Al3 Pb6'
_cell_length_a 3.7391
_cell_length_b 3.7391
_cell_length_c 31.9313
_cell_angle_alpha 90.00
_cell_angle_beta 90.00
_cell_angle_gamma 120.00
_space_group_name_H-M_alt 'R 3 m'
_space_group_IT_number 160
_space_group_name_Hall 'R 3 -2"'
loop_
_atom_site_label
_atom_site_type_symbol
_atom_site_fract_x
_atom_site_fract_y
_atom_site_fract_z
K1 K 0.0000 0.0000 0.0000
Al1 Al 0.0000 0.0000 0.2451
Pb1 Pb 0.0000 0.0000 0.5107
Pb2 Pb 0.0000 0.0000 0.7639
# ΔE_f = 74 kJ/mol of formula units
# E_tot = -34.5 eV for the cell shown


(4)
# K2AlPb, relaxed, DFT PBE
data_K2AlPb
_chemical_formula_sum 'K2 Al1 Pb1'
_cell_length_a 6.2301
_cell_length_b 6.2301
_cell_length_c 3.6767
_cell_angle_alpha 90.00
_cell_angle_beta 90.00
_cell_angle_gamma 90.00
_space_group_name_H-M_alt 'P 4/m m m'
_space_group_IT_number 123
_space_group_name_Hall '-P 4 2'
loop_
_atom_site_label
_atom_site_type_symbol
_atom_site_fract_x
_atom_site_fract_y
_atom_site_fract_z
K1 K 0.0000 0.5000 0.0000
Al1 Al 0.0000 0.0000 0.5000
Pb1 Pb 0.5000 0.5000 0.5000
# ΔE_f = 109 kJ/mol of formula units
# E_tot = -8.5 eV for the cell shown


> ΔE_f of number 1 (KAl2Pb2)?

6 kJ/mol of formula units


> Look up the ΔE_f of the fourth one.

109 kJ/mol of formula units


Copy entry 4 word for word.
# K2AlPb, relaxed, DFT PBE
data_K2AlPb
_chemical_formula_sum 'K2 Al1 Pb1'
_cell_length_a 6.2301
_cell_length_b 6.2301
_cell_length_c 3.6767
_cell_angle_alpha 90.00
_cell_angle_beta 90.00
_cell_angle_gamma 90.00
_space_group_name_H-M_alt 'P 4/m m m'
_space_group_IT_number 123
_space_group_name_Hall '-P 4 2'
loop_
_atom_site_label
_atom_site_type_symbol
_atom_site_fract_x
_atom_site_fract_y
_atom_site_fract_z
K1 K 0.0000 0.5000 0.0000
Al1 Al 0.0000 0.0000 0.5000
Pb1 Pb 0.5000 0.5000 0.5000
# ΔE_f = 109 kJ/mol of formula units
# E_tot = -8.5 eV for the cell shown


> Look up the ΔE_f of the second one.

41 kJ/mol of formula units